[1]
Density functional theory data (PBE) for an optimized crystal structure of ScNbAu.

Cell lengths 4.2787, 3.0268, 12.5520 Å; angles 90.00, 90.00, 134.97 degrees
Fractional coordinates of all 6 atoms:
Sc1 0.1944 0.3889 0.1763
Sc2 0.1944 0.3889 0.8237
Nb1 0.1944 0.3889 0.5000
Nb2 0.6944 0.3888 0.0000
Au1 0.6944 0.3889 0.3394
Au2 0.6944 0.3889 0.6606

Summary:
energy relative to the elements	-0.2105	eV per atom
total energy	-0.249	hartree per atom
symmetry	P4/mmm

[2]
Density functional theory data (PBE) for an optimized crystal structure of Ce2ReNi.

Cell lengths 2.9601, 2.9601, 10.1372 Å; angles 81.60, 81.60, 60.00 degrees
Fractional coordinates of all 4 atoms:
Ce1 0.0883 0.0883 0.7352
Ce2 0.9117 0.9117 0.2648
Re1 0.0000 0.0000 0.0000
Ni1 0.5000 0.5000 0.5000

Summary:
energy relative to the elements	0.4627	eV per atom
total energy	-0.260	hartree per atom
symmetry	R-3m

[3]
Density functional theory data (PBE) for an optimized crystal structure of CoSiMo.

Cell lengths 5.1706, 5.1704, 2.8103 Å; angles 74.23, 74.23, 31.54 degrees
Last column: magnetic moment on the atom in μB.
Fractional coordinates of all 3 atoms:
Si1 0.6476 0.6476 0.3524  0.00
Mo1 0.3330 0.3330 0.6670  0.10
Co1 0.0194 0.0194 0.9806  0.52

Summary:
total energy	-0.296	hartree per atom
formation energy without anion corrections	-0.25	eV per atom
distance to the lowest polymorph of the same formula	209.9	meV per atom
symmetry	I4mm

[4]
Density functional theory data (PBE) for an optimized crystal structure of CdAg3Cl8.

Cell lengths 7.3722, 8.2943, 6.8918 Å; angles 116.90, 90.00, 116.39 degrees
Last column: magnetic moment on the atom in μB.
Fractional coordinates of all 12 atoms:
Cl1 0.2652 0.0003 0.7499  0.00
Cl2 0.7500 0.4999 0.2415  0.14
Cl3 0.7350 0.0003 0.7499  0.00
Cl4 0.2650 0.9997 0.2501  0.00
Cl5 0.7777 0.5553 0.7808  0.14
Cl6 0.7348 0.9997 0.2501  0.00
Cl7 0.2223 0.4447 0.2192  0.14
Cl8 0.2500 0.5001 0.7585  0.14
Cd1 0.0000 0.0000 0.0000  0.00
Ag1 0.0000 0.5000 0.0000  0.19
Ag2 0.5000 0.5000 0.0000  0.19
Ag3 0.5000 0.0000 0.0000  0.00

Summary:
total energy	-0.093	hartree per atom
formation energy without anion corrections	-0.50	eV per atom
symmetry	C2/m

[5]
Density functional theory data (PBE) for an optimized crystal structure of NiPd3N.

Cell lengths 4.5961, 4.5961, 4.5961 Å; angles 90.00, 90.00, 90.00 degrees
Last column: magnetic moment on the atom in μB.
Fractional coordinates of all 5 atoms:
Pd1 0.0000 0.5000 0.0000  0.35
Pd2 0.5000 0.0000 0.0000  0.19
Pd3 0.0000 0.0000 0.5000  0.35
N1 0.5000 0.5000 0.5000  1.58
Ni1 0.0000 0.0000 0.0000  0.70

Summary:
total energy	-0.149	hartree per atom
formation energy without anion corrections	1.87	eV per atom
distance to the lowest polymorph of the same formula	1472.2	meV per atom
symmetry	Pm-3m

[6]
Density functional theory data (PBE) for an optimized crystal structure of Pm3Tm12In.

Cell lengths 4.9250, 4.9250, 19.9072 Å; angles 90.00, 90.00, 90.00 degrees
Fractional coordinates of all 16 atoms:
Tm1 0.5000 0.5000 0.7571
Tm2 0.5000 0.5000 0.5000
Tm3 0.0000 0.5000 0.1198
Tm4 0.5000 0.5000 0.0000
Tm5 0.5000 0.0000 0.1198
Tm6 0.0000 0.5000 0.8802
Tm7 0.5000 0.0000 0.6269
Tm8 0.0000 0.5000 0.6269
Tm9 0.5000 0.0000 0.3731
Tm10 0.5000 0.5000 0.2429
Tm11 0.0000 0.5000 0.3731
Tm12 0.5000 0.0000 0.8802
Pm1 0.0000 0.0000 0.5000
Pm2 0.0000 0.0000 0.7518
Pm3 0.0000 0.0000 0.2482
In1 0.0000 0.0000 0.0000

Summary:
energy relative to the elements	-0.0366	eV per atom
total energy	-0.164	hartree per atom
symmetry	P4/mmm

[7]
Density functional theory data (PBE) for an optimized crystal structure of Pm2ScF8.

Cell lengths 3.7815, 5.5436, 7.5051 Å; angles 109.69, 104.59, 90.00 degrees
Last column: magnetic moment on the atom in μB.
Fractional coordinates of all 11 atoms:
F1 0.2201 0.3213 0.4402  0.00
F2 0.3275 0.0373 0.6550  0.00
F3 0.9650 0.1922 0.9301  0.01
F4 0.7799 0.6787 0.5598  0.00
F5 0.6725 0.9627 0.3450  0.00
F6 0.4078 0.5720 0.8157  0.00
F7 0.0350 0.8078 0.0699  0.01
F8 0.5922 0.4280 0.1843  0.00
Sc1 0.5000 0.0000 0.0000  0.79
Pm1 0.8285 0.3216 0.6570  0.01
Pm2 0.1715 0.6784 0.3430  0.01

Summary:
total energy	-0.244	hartree per atom
formation energy without anion corrections	-3.83	eV per atom
symmetry	C2/m

[8]
Density functional theory data (PBE) for an optimized crystal structure of B3RuO.

Cell lengths 3.4620, 3.4620, 3.4620 Å; angles 90.00, 90.00, 90.00 degrees
Fractional coordinates of all 5 atoms:
B1 0.0000 0.5000 0.0000
B2 0.5000 0.0000 0.0000
B3 0.0000 0.0000 0.5000
Ru1 0.5000 0.5000 0.5000
O1 0.0000 0.0000 0.0000

Summary:
total energy	-0.209	hartree per atom
formation energy without anion corrections	1.16	eV per atom
distance to the lowest polymorph of the same formula	0.0	meV per atom
symmetry	Pm-3m

[9]
Density functional theory data (PBE) for an optimized crystal structure of LiNbAu2.

Cell lengths 4.1033, 4.1033, 9.3232 Å; angles 77.29, 77.29, 90.00 degrees
Fractional coordinates of all 8 atoms:
Au1 0.6041 0.1250 0.2500
Au2 0.3750 0.3959 0.7500
Au3 0.1459 0.6250 0.2500
Au4 0.8750 0.8541 0.7500
Nb1 0.7500 0.2500 0.5000
Nb2 0.0000 0.0000 0.0000
Li1 0.2500 0.7500 0.5000
Li2 0.5000 0.5000 0.0000

Summary:
energy relative to the elements	0.3507	eV per atom
total energy	-0.157	hartree per atom
symmetry	I-42d

[10]
Density functional theory data (PBE) for an optimized crystal structure of Pm2HoPaP4.

Cell lengths 4.0513, 6.9843, 7.0299 Å; angles 109.42, 90.00, 90.00 degrees
Fractional coordinates of all 8 atoms:
Pm1 0.0000 0.5000 0.5000
Pm2 0.5000 0.0000 0.5000
P1 0.0000 0.2568 0.7631
P2 0.0000 0.7432 0.2369
P3 0.5000 0.2502 0.2373
P4 0.5000 0.7498 0.7627
Pa1 0.5000 0.5000 0.0000
Ho1 0.0000 0.0000 0.0000

Summary:
energy relative to the elements	-1.5267	eV per atom
total energy	-0.264	hartree per atom
symmetry	P2/m

[11]
Density functional theory data (PBE) for an optimized crystal structure of CsAg3Ge.

Cell lengths 7.2097, 8.8804, 8.8804 Å; angles 69.77, 79.07, 79.07 degrees
Fractional coordinates of all 20 atoms:
Ag1 0.1346 0.6195 0.9635
Ag2 0.8972 0.6657 0.7219
Ag3 0.4414 0.3392 0.0513
Ag4 0.3654 0.0365 0.3805
Ag5 0.8654 0.3805 0.0365
Ag6 0.3972 0.7219 0.6657
Ag7 0.6028 0.2781 0.3343
Ag8 0.9414 0.0513 0.3392
Ag9 0.6346 0.9635 0.6195
Ag10 0.1028 0.3343 0.2781
Ag11 0.5586 0.6608 0.9487
Ag12 0.0586 0.9487 0.6608
Cs1 0.2500 0.0057 0.9943
Cs2 0.7500 0.9943 0.0057
Cs3 0.2500 0.3517 0.6483
Cs4 0.7500 0.6483 0.3517
Ge1 0.3197 0.5724 0.2248
Ge2 0.8197 0.2248 0.5724
Ge3 0.6803 0.4276 0.7752
Ge4 0.1803 0.7752 0.4276

Summary:
energy relative to the elements	0.1092	eV per atom
total energy	-0.099	hartree per atom
distance to the lowest polymorph of the same formula	38.8	meV per atom
symmetry	C2/c

[12]
Density functional theory data (PBE) for an optimized crystal structure of Cr2BHRu.

Cell lengths 4.7473, 3.9677, 4.7473 Å; angles 90.00, 90.00, 90.00 degrees
Last column: magnetic moment on the atom in μB.
Fractional coordinates of all 5 atoms:
H1 0.5000 0.5000 0.5000  -0.12
B1 0.0000 0.5000 0.0000  -0.08
Cr1 0.5000 0.0000 0.0000  3.66
Cr2 0.0000 0.0000 0.5000  3.09
Ru1 0.0000 0.0000 0.0000  -0.41

Summary:
total energy	-0.227	hartree per atom
symmetry	P4/mmm

[13]
Density functional theory data (PBE) for an optimized crystal structure of Ac3MgPd2.

Cell lengths 4.5185, 8.9322, 11.1983 Å; angles 67.93, 78.36, 75.35 degrees
Fractional coordinates of all 12 atoms:
Mg1 0.5614 0.5243 0.3529
Mg2 0.4386 0.4757 0.6471
Ac1 0.9518 0.8770 0.2194
Ac2 0.3445 0.3071 0.0038
Ac3 0.0482 0.1230 0.7806
Ac4 0.6555 0.6929 0.9962
Ac5 0.7942 0.8074 0.6042
Ac6 0.2058 0.1926 0.3958
Pd1 0.8567 0.4689 0.8176
Pd2 0.6146 0.1906 0.5802
Pd3 0.1433 0.5311 0.1824
Pd4 0.3854 0.8094 0.4198

Summary:
energy relative to the elements	-0.4848	eV per atom
total energy	-0.167	hartree per atom
symmetry	C2/m

[14]
Density functional theory data (PBE) for an optimized crystal structure of ZrTe2S.

Cell lengths 9.8384, 9.8384, 9.8384 Å; angles 20.75, 20.75, 20.75 degrees
Fractional coordinates of all 4 atoms:
S1 0.5000 0.5000 0.5000
Zr1 0.0000 0.0000 0.0000
Te1 0.0975 0.0975 0.0975
Te2 0.9025 0.9025 0.9025

Summary:
total energy	-0.158	hartree per atom
formation energy without anion corrections	0.43	eV per atom
symmetry	R-3m

[15]
Density functional theory data (PBE) for an optimized crystal structure of PAuC.

Cell lengths 3.9787, 3.0626, 10.1028 Å; angles 90.00, 113.30, 90.00 degrees
Fractional coordinates of all 6 atoms:
C1 0.7401 0.5000 0.4654
C2 0.7401 0.0000 0.9654
P1 0.5621 0.5000 0.2869
P2 0.5621 0.0000 0.7869
Au1 0.8910 0.5000 0.1168
Au2 0.8910 0.0000 0.6168

Summary:
energy relative to the elements	1.0958	eV per atom
total energy	-0.179	hartree per atom
distance to the lowest polymorph of the same formula	888.9	meV per atom
symmetry	Cm

[16]
Density functional theory data (PBE) for an optimized crystal structure of Zr6InHg2.

Cell lengths 4.7677, 6.7661, 8.2825 Å; angles 114.11, 106.70, 90.00 degrees
Fractional coordinates of all 9 atoms:
Zr1 0.5000 0.7473 0.0000
Zr2 0.5000 0.2527 0.0000
Zr3 0.1663 0.9156 0.3326
Zr4 0.1663 0.4170 0.3326
Zr5 0.8337 0.0844 0.6674
Zr6 0.8337 0.5830 0.6674
Hg1 0.6682 0.6683 0.3365
Hg2 0.3318 0.3317 0.6635
In1 0.0000 0.0000 0.0000

Summary:
energy relative to the elements	0.2988	eV per atom
total energy	-0.212	hartree per atom
distance to the lowest polymorph of the same formula	343.6	meV per atom
symmetry	Immm